Entry from the Alexandria database: a relaxed NaZrFe2Sb crystal (PBE).

POSCAR file:
```
NaZrFe2Sb
1.0
4.7269 0.0000 0.0000
0.0000 4.7269 0.0000
0.0000 0.0000 5.3450
Na Zr Fe Sb
1 1 2 1
Cartesian
0.0000 0.0000 0.0000 Na
2.3634 2.3634 0.0000 Zr
0.0000 2.3634 2.6725 Fe
2.3634 0.0000 2.6725 Fe
2.3634 2.3634 2.6725 Sb
```

Results
Total magnetic moment (μB per formula unit): 5.377
SG: No. 123
DFT total energy (eV/atom): -5.176
Uncorrected formation energy (eV/atom): 1.01

***

Entry from the Alexandria database: a relaxed NaSc2Fe crystal (PBE).

POSCAR file:
```
NaSc2Fe
1.0
1.6362 0.9446 10.0630
-1.6362 0.9446 10.0630
0.0000 -1.8893 10.0630
Na Sc Fe
1 2 1
Cartesian
0.0000 0.0000 0.0000 Na
0.0000 0.0000 3.3361 Sc
0.0000 0.0000 26.8529 Sc
0.0000 0.0000 15.0945 Fe
```

Results
Total magnetic moment (μB per formula unit): 0.000
SG: No. 166
DFT total energy (eV/atom): -5.360
Energy above the lowest structure with this stoichiometry (eV per atom): 0.000
Formation energy from the elements (eV per atom): 0.25

***

Entry from the Alexandria database: a relaxed NaSc2Fe crystal (PBE).

POSCAR file:
```
NaSc2Fe
1.0
-3.6140 3.6140 5.1224
3.6140 -3.6140 5.1224
3.6140 3.6140 -5.1224
Na Sc Fe
2 4 2
Cartesian
3.6140 1.8070 1.2806 Na
0.0000 1.8070 3.8418 Na
0.0000 0.0000 0.0000 Sc
1.8070 1.8070 -2.5612 Sc
1.8070 -1.8070 2.5612 Sc
0.0000 3.6140 0.0000 Sc
3.6140 -1.8070 3.8418 Fe
0.0000 5.4209 1.2806 Fe
```

Results
Total magnetic moment (μB per formula unit): 0.000
SG: No. 141
DFT total energy (eV/atom): -4.931
Energy above the lowest structure with this stoichiometry (eV per atom): 0.428
Formation energy from the elements (eV per atom): 0.68

***

Entry from the Alexandria database: a relaxed NaScFe crystal (PBE).

POSCAR file:
```
NaScFe
1.0
1.7458 -10.6352 0.0000
1.7458 10.6352 0.0000
0.0000 0.0000 3.8072
Na Sc Fe
2 2 2
Cartesian
1.7458 6.6816 2.8554 Na
1.7458 -6.6816 0.9518 Na
1.7458 1.4590 2.8554 Sc
1.7458 -1.4590 0.9518 Sc
1.7458 9.9648 2.8554 Fe
1.7458 -9.9648 0.9518 Fe
```

Results
Total magnetic moment (μB per formula unit): 1.534
SG: No. 63
DFT total energy (eV/atom): -5.282
Energy above the lowest structure with this stoichiometry (eV per atom): 0.013
Formation energy from the elements (eV per atom): 0.09

***

Entry from the Alexandria database: a relaxed Na3ScFe crystal (PBE).

POSCAR file:
```
Na3ScFe
1.0
5.3212 0.0000 0.0000
0.0000 5.3212 0.0000
0.0000 0.0000 5.3212
Na Sc Fe
3 1 1
Cartesian
0.0000 0.0000 2.6606 Na
0.0000 2.6606 0.0000 Na
2.6606 0.0000 0.0000 Na
2.6606 2.6606 2.6606 Sc
0.0000 0.0000 0.0000 Fe
```

Results
Total magnetic moment (μB per formula unit): 1.671
SG: No. 221
DFT total energy (eV/atom): -2.678
Energy above the lowest structure with this stoichiometry (eV per atom): 0.000
Formation energy from the elements (eV per atom): 1.07

***

Entry from the Alexandria database: a relaxed Na2ScFe crystal (PBE).

POSCAR file:
```
Na2ScFe
1.0
0.0000 3.5597 3.5597
3.5597 0.0000 3.5597
3.5597 3.5597 0.0000
Na Sc Fe
2 1 1
Cartesian
1.7799 1.7799 1.7799 Na
5.3396 5.3396 5.3396 Na
0.0000 0.0000 0.0000 Sc
3.5597 3.5597 3.5597 Fe
```

Results
Total magnetic moment (μB per formula unit): 1.715
SG: No. 225
DFT total energy (eV/atom): -3.508
Energy above the lowest structure with this stoichiometry (eV per atom): 0.243
Formation energy from the elements (eV per atom): 0.85

***

Entry from the Alexandria database: a relaxed NaSc2Fe crystal (PBE).

POSCAR file:
```
NaSc2Fe
1.0
0.0000 3.3433 3.3433
3.3433 0.0000 3.3433
3.3433 3.3433 0.0000
Na Sc Fe
1 2 1
Cartesian
0.0000 0.0000 0.0000 Na
1.6716 1.6716 1.6716 Sc
5.0149 5.0149 5.0149 Sc
3.3433 3.3433 3.3433 Fe
```

Results
Total magnetic moment (μB per formula unit): 0.000
SG: No. 225
DFT total energy (eV/atom): -5.242
Energy above the lowest structure with this stoichiometry (eV per atom): 0.118
Formation energy from the elements (eV per atom): 0.37

***

Entry from the Alexandria database: a relaxed NaScFe crystal (PBE).

POSCAR file:
```
NaScFe
1.0
5.3293 -1.5947 0.0000
5.3293 1.5947 0.0000
-3.1221 0.0000 7.7228
Na Sc Fe
2 2 2
Cartesian
0.0000 0.0000 0.0000 Na
4.7186 0.0000 6.2933 Na
2.8117 0.0000 2.0605 Sc
5.6776 0.0000 3.3517 Sc
1.9242 0.0000 4.7939 Fe
8.6883 0.0000 3.9461 Fe
```

Results
Total magnetic moment (μB per formula unit): 1.498
SG: No. 8
DFT total energy (eV/atom): -5.105
Energy above the lowest structure with this stoichiometry (eV per atom): 0.191
Formation energy from the elements (eV per atom): 0.27